A plane-wave DFT calculation with PBE was carried out for crystalline Th4IrC2 at its relaxed geometry.

Computed properties:
Magnetization in μB/f.u.: 0.00
Total DFT energy (no corrections) in eV per cell: -120.3

a b c (Å): 6.4667 6.4667 13.2866
angles (deg): 90.00 90.00 145.72
With the nearest neighbours (Å) after each atom.
Fractional positions:
Th 0.0000 0.0000 0.0000  4 C 2.67
Th 0.0000 0.0000 0.5000  4 C 2.67
Th 0.2756 0.7244 0.6104  3 C 2.55-2.65
Th 0.2756 0.7244 0.8896  3 C 2.55-2.65
Th 0.4365 0.5635 0.2500  2 C 2.64, 2 Ir 2.85
Th 0.5635 0.4365 0.7500  2 C 2.64, 2 Ir 2.85
Th 0.7244 0.2756 0.1104  3 C 2.55-2.65
Th 0.7244 0.2756 0.3896  3 C 2.55-2.65
Ir 0.1080 0.8920 0.2500  6 Th 2.85-3.02
Ir 0.8920 0.1080 0.7500  6 Th 2.85-3.02
C 0.3649 0.6351 0.0629  6 Th 2.55-2.67
C 0.3649 0.6351 0.4371  6 Th 2.55-2.67
C 0.6351 0.3649 0.5629  6 Th 2.55-2.67
C 0.6351 0.3649 0.9371  6 Th 2.55-2.67

A plane-wave DFT calculation with PBE was carried out for crystalline Ti4IrC2 at its relaxed geometry.

Computed properties:
Magnetization in μB/f.u.: 0.00
Total DFT energy (no corrections) in eV per cell: -128.0

a b c (Å): 5.4814 5.4814 11.2862
angles (deg): 90.00 90.00 147.39
With the nearest neighbours (Å) after each atom.
Fractional positions:
Ti 0.0000 0.0000 0.0000  4 C 2.19
Ti 0.0000 0.0000 0.5000  4 C 2.19
Ti 0.2668 0.7332 0.6038  3 C 2.13-2.14
Ti 0.2668 0.7332 0.8962  3 C 2.13-2.14
Ti 0.4223 0.5777 0.2500  2 C 2.22
Ti 0.5777 0.4223 0.7500  2 C 2.22
Ti 0.7332 0.2668 0.1038  3 C 2.13-2.14
Ti 0.7332 0.2668 0.3962  3 C 2.13-2.14
Ir 0.1103 0.8897 0.2500  6 Ti 2.51-2.60
Ir 0.8897 0.1103 0.7500  6 Ti 2.51-2.60
C 0.3661 0.6339 0.0602  6 Ti 2.13-2.22
C 0.3661 0.6339 0.4398  6 Ti 2.13-2.22
C 0.6339 0.3661 0.5602  6 Ti 2.13-2.22
C 0.6339 0.3661 0.9398  6 Ti 2.13-2.22

A plane-wave DFT calculation with PBE was carried out for crystalline Ti6IrC3 at its relaxed geometry.

Computed properties:
Magnetization in μB/f.u.: 0.00
Total DFT energy (no corrections) in eV per cell: -181.0

a b c (Å): 9.1126 3.0296 9.6390
angles (deg): 90.00 102.54 90.00
With the nearest neighbours (Å) after each atom.
Fractional positions:
Ti 0.0252 0.2500 0.1334  4 C 2.10-2.25
Ti 0.1165 0.7500 0.4513  4 C 2.12-2.22
Ti 0.1852 0.2500 0.7447  3 C 2.12-2.13
Ti 0.2940 0.7500 0.0148  2 C 2.13
Ti 0.3141 0.2500 0.2872  2 C 2.06
Ti 0.4195 0.2500 0.5906  3 C 2.12-2.14
Ti 0.5805 0.7500 0.4094  3 C 2.12-2.14
Ti 0.6859 0.7500 0.7128  2 C 2.06
Ti 0.7060 0.2500 0.9852  2 C 2.13
Ti 0.8148 0.7500 0.2553  3 C 2.12-2.13
Ti 0.8835 0.2500 0.5487  4 C 2.12-2.22
Ti 0.9748 0.7500 0.8666  4 C 2.10-2.25
Ir 0.4648 0.7500 0.8353  6 Ti 2.55-2.80
Ir 0.5352 0.2500 0.1647  6 Ti 2.55-2.80
C 0.0306 0.7500 0.6504  6 Ti 2.12-2.25
C 0.1293 0.2500 0.9475  6 Ti 2.10-2.20
C 0.3528 0.7500 0.4359  6 Ti 2.06-2.19
C 0.6472 0.2500 0.5641  6 Ti 2.06-2.19
C 0.8707 0.7500 0.0525  6 Ti 2.10-2.20
C 0.9694 0.2500 0.3496  6 Ti 2.12-2.25

A plane-wave DFT calculation with PBE was carried out for crystalline Ti8IrC2 at its relaxed geometry.

Computed properties:
Magnetization in μB/f.u.: 0.00
Total DFT energy (no corrections) in eV per cell: -94.5

a b c (Å): 6.2449 6.2449 4.3729
angles (deg): 96.90 96.90 112.04
With the nearest neighbours (Å) after each atom.
Fractional positions:
Ti 0.0755 0.3348 0.5697  2 C 2.25-2.30
Ti 0.2473 0.7527 0.0000  2 C 2.27
Ti 0.3348 0.0755 0.5697  2 C 2.25-2.30
Ti 0.4007 0.4007 0.1987  2 C 2.42, 4 Ti 2.44-2.70
Ti 0.5993 0.5993 0.8013  2 C 2.42, 4 Ti 2.44-2.70
Ti 0.6652 0.9245 0.4303  2 C 2.25-2.30
Ti 0.7527 0.2473 0.0000  2 C 2.27
Ti 0.9245 0.6652 0.4303  2 C 2.25-2.30
Ir 0.0000 0.0000 0.0000  4 Ti 2.56-2.74
C 0.3059 0.6941 0.5000  8 Ti 2.25-2.42
C 0.6941 0.3059 0.5000  8 Ti 2.25-2.42

A plane-wave DFT calculation with PBE was carried out for crystalline Ti7Ir2C2 at its relaxed geometry.

Computed properties:
Magnetization in μB/f.u.: 0.00
Total DFT energy (no corrections) in eV per cell: -96.7

a b c (Å): 5.4352 5.4352 5.6689
angles (deg): 90.00 90.00 104.10
With the nearest neighbours (Å) after each atom.
Fractional positions:
Ti 0.0000 0.0000 0.0000  2 C 2.36
Ti 0.0000 0.5000 0.2396  2 C 2.16
Ti 0.0000 0.5000 0.7604  2 C 2.16
Ti 0.5000 0.0000 0.2396  2 C 2.16
Ti 0.5000 0.0000 0.7604  2 C 2.16
Ti 0.5000 0.5000 0.2347  2 C 2.34, 2 Ir 2.56
Ti 0.5000 0.5000 0.7653  2 C 2.34, 2 Ir 2.56
Ir 0.1906 0.1906 0.5000  1 Ir 2.55, 6 Ti 2.56-2.63
Ir 0.8094 0.8094 0.5000  1 Ir 2.55, 6 Ti 2.56-2.63
C 0.2756 0.7244 0.0000  7 Ti 2.16-2.36
C 0.7244 0.2756 0.0000  7 Ti 2.16-2.36

A plane-wave DFT calculation with PBE was carried out for crystalline TiIr2WC at its relaxed geometry.

Computed properties:
Magnetization in μB/f.u.: 0.00
Total DFT energy (no corrections) in eV per cell: -48.1

a b c (Å): 4.0522 4.0522 4.2172
angles (deg): 90.00 90.00 90.00
With the nearest neighbours (Å) after each atom.
Fractional positions:
Ti 0.0000 0.0000 0.0000  4 W 2.87, 8 Ir 2.92
Ir 0.0000 0.5000 0.5000  2 C 2.03
Ir 0.5000 0.0000 0.5000  2 C 2.03
W 0.5000 0.5000 0.0000  2 C 2.11
C 0.5000 0.5000 0.5000  4 Ir 2.03, 2 W 2.11

A plane-wave DFT calculation with PBE was carried out for crystalline ZrTi2IrC at its relaxed geometry.

Computed properties:
Magnetization in μB/f.u.: 0.00
Total DFT energy (no corrections) in eV per cell: -45.2

a b c (Å): 4.1281 4.1281 4.5231
angles (deg): 90.00 90.00 90.00
With the nearest neighbours (Å) after each atom.
Fractional positions:
Zr 0.0000 0.0000 0.0000  2 C 2.26
Ti 0.0000 0.5000 0.5000  2 C 2.06
Ti 0.5000 0.0000 0.5000  2 C 2.06
Ir 0.5000 0.5000 0.0000  4 Zr 2.92, 8 Ti 3.06
C 0.0000 0.0000 0.5000  4 Ti 2.06, 2 Zr 2.26

A plane-wave DFT calculation with PBE was carried out for crystalline TlIrC2 at its relaxed geometry.

Computed properties:
Magnetization in μB/f.u.: 0.00
E above lowest polymorph in meV/atom: 1247.9
Total DFT energy (no corrections) in eV per cell: -80.9

a b c (Å): 5.8491 5.8491 5.8491
angles (deg): 90.00 90.00 90.00
With the nearest neighbours (Å) after each atom.
Fractional positions:
Tl 0.0000 0.0000 0.0000  8 C 2.53
Tl 0.0000 0.5000 0.5000  8 C 2.53
Tl 0.5000 0.0000 0.5000  8 C 2.53
Tl 0.5000 0.5000 0.0000  8 C 2.53
Ir 0.0000 0.0000 0.5000  8 C 2.53
Ir 0.0000 0.5000 0.0000  8 C 2.53
Ir 0.5000 0.0000 0.0000  8 C 2.53
Ir 0.5000 0.5000 0.5000  8 C 2.53
C 0.2500 0.2500 0.2500  4 Tl 2.53, 4 Ir 2.53
C 0.2500 0.2500 0.7500  4 Tl 2.53, 4 Ir 2.53
C 0.2500 0.7500 0.2500  4 Tl 2.53, 4 Ir 2.53
C 0.2500 0.7500 0.7500  4 Ir 2.53, 4 Tl 2.53
C 0.7500 0.2500 0.2500  4 Tl 2.53, 4 Ir 2.53
C 0.7500 0.2500 0.7500  4 Ir 2.53, 4 Tl 2.53
C 0.7500 0.7500 0.2500  4 Ir 2.53, 4 Tl 2.53
C 0.7500 0.7500 0.7500  4 Tl 2.53, 4 Ir 2.53

A plane-wave DFT calculation with PBE was carried out for crystalline TlIrC3 at its relaxed geometry.

Computed properties:
Magnetization in μB/f.u.: 0.00
E above lowest polymorph in meV/atom: 1906.6
Total DFT energy (no corrections) in eV per cell: -19.1

a b c (Å): 4.2626 4.2626 4.2626
angles (deg): 90.00 90.00 90.00
With the nearest neighbours (Å) after each atom.
Fractional positions:
Tl 0.0000 0.0000 0.0000  6 C 2.13
Ir 0.5000 0.5000 0.5000  12 C 3.01
C 0.0000 0.0000 0.5000  2 Tl 2.13
C 0.0000 0.5000 0.0000  2 Tl 2.13
C 0.5000 0.0000 0.0000  2 Tl 2.13

A plane-wave DFT calculation with PBE was carried out for crystalline TlIrC3 at its relaxed geometry.

Computed properties:
Magnetization in μB/f.u.: 0.00
E above lowest polymorph in meV/atom: 0.0
Total DFT energy (no corrections) in eV per cell: -28.6

a b c (Å): 4.0910 4.0910 4.0910
angles (deg): 90.00 90.00 90.00
With the nearest neighbours (Å) after each atom.
Fractional positions:
Tl 0.0000 0.0000 0.0000  12 C 2.89
Ir 0.5000 0.5000 0.5000  6 C 2.05
C 0.0000 0.5000 0.5000  2 Ir 2.05
C 0.5000 0.0000 0.5000  2 Ir 2.05
C 0.5000 0.5000 0.0000  2 Ir 2.05

A plane-wave DFT calculation with PBE was carried out for crystalline TlIrC2 at its relaxed geometry.

Computed properties:
Magnetization in μB/f.u.: 0.00
E above lowest polymorph in meV/atom: 0.0
Total DFT energy (no corrections) in eV per cell: -100.8

a b c (Å): 5.7074 5.7074 9.2887
angles (deg): 90.00 90.00 90.00
With the nearest neighbours (Å) after each atom.
Fractional positions:
Tl 0.0000 0.0000 0.0000  4 C 2.99
Tl 0.0000 0.5000 0.2500  4 C 2.99
Tl 0.5000 0.0000 0.7500  4 C 2.99
Tl 0.5000 0.5000 0.5000  4 C 2.99
Ir 0.0000 0.0000 0.5000  4 C 1.90
Ir 0.0000 0.5000 0.7500  4 C 1.90
Ir 0.5000 0.0000 0.2500  4 C 1.90
Ir 0.5000 0.5000 0.0000  4 C 1.90
C 0.0865 0.2500 0.6250  2 Ir 1.90
C 0.2500 0.5865 0.8750  2 Ir 1.90
C 0.2500 0.9135 0.3750  2 Ir 1.90
C 0.4135 0.2500 0.1250  2 Ir 1.90
C 0.5865 0.7500 0.1250  2 Ir 1.90
C 0.7500 0.0865 0.3750  2 Ir 1.90
C 0.7500 0.4135 0.8750  2 Ir 1.90
C 0.9135 0.7500 0.6250  2 Ir 1.90

A plane-wave DFT calculation with PBE was carried out for crystalline Y2TlIrC at its relaxed geometry.

Computed properties:
Magnetization in μB/f.u.: 0.00
Total DFT energy (no corrections) in eV per cell: -35.7

a b c (Å): 5.1027 5.1027 3.9396
angles (deg): 90.00 90.00 90.00
With the nearest neighbours (Å) after each atom.
Fractional positions:
Y 0.0000 0.5000 0.0000  2 C 2.55
Y 0.5000 0.0000 0.0000  2 C 2.55
Tl 0.0000 0.0000 0.5000  8 Y 3.22, 4 Ir 3.61
Ir 0.5000 0.5000 0.5000  2 C 1.97
C 0.5000 0.5000 0.0000  2 Ir 1.97

A plane-wave DFT calculation with PBE was carried out for crystalline ZrTl2IrC at its relaxed geometry.

Computed properties:
Magnetization in μB/f.u.: 0.00
Total DFT energy (no corrections) in eV per cell: -27.3

a b c (Å): 4.6465 4.6465 4.4674
angles (deg): 90.00 90.00 90.00
With the nearest neighbours (Å) after each atom.
Fractional positions:
Zr 0.0000 0.0000 0.0000  2 C 2.23
Tl 0.0000 0.5000 0.5000  2 C 2.32
Tl 0.5000 0.0000 0.5000  2 C 2.32
Ir 0.5000 0.5000 0.0000  8 Tl 3.22, 4 Zr 3.29
C 0.0000 0.0000 0.5000  2 Zr 2.23, 4 Tl 2.32

no.,energy relative to the elements (eV per atom)
1,-0.455
2,-0.733
3,-0.662
4,-0.371
5,-0.477
6,-0.060
7,-0.564
8,2.364
9,3.965
10,2.058
11,1.116
12,-0.466
13,0.806